1.
Material: LiTa2Tl
Method: DFT, PBE-GGA
State: relaxed

a = 4.1313 Å, b = 4.1313 Å, c = 8.6375 Å
α = 90.00°, β = 90.00°, γ = 90.00°
Last column: nearest neighbours and their distance in Å.
Fractional positions:
Li1 0.0000 0.0000 0.0000  8 Ta 2.92-2.99, 4 Tl 2.99
Li2 0.5000 0.5000 0.5000  8 Ta 2.92-2.99, 4 Tl 2.99
Ta1 0.0000 0.0000 0.5000  4 Li 2.92, 4 Tl 2.99, 4 Ta 2.99
Ta2 0.0000 0.5000 0.7500  4 Tl 2.92, 4 Ta 2.99, 4 Li 2.99
Ta3 0.5000 0.0000 0.2500  4 Tl 2.92, 4 Ta 2.99, 4 Li 2.99
Ta4 0.5000 0.5000 0.0000  4 Li 2.92, 4 Tl 2.99, 4 Ta 2.99
Tl1 0.0000 0.5000 0.2500  8 Ta 2.92-2.99, 4 Li 2.99
Tl2 0.5000 0.0000 0.7500  8 Ta 2.92-2.99, 4 Li 2.99

Formation enthalpy at 0 K: 517 meV per atom
Raw total energy: -51.83 eV per cell

***

2.
Material: Nd2Ga2CuRh5
Method: DFT, PBE-GGA
State: relaxed

a = 9.9134 Å, b = 9.9134 Å, c = 3.5454 Å
α = 90.00°, β = 90.00°, γ = 90.00°
Last column: nearest neighbours and their distance in Å.
Fractional positions:
Nd1 0.1752 0.3248 0.0000  3 Ga 2.80-3.02, 2 Rh 3.03
Nd2 0.3248 0.8248 0.0000  3 Ga 2.80-3.02, 2 Rh 3.03
Nd3 0.6752 0.1752 0.0000  3 Ga 2.80-3.02, 2 Rh 3.03
Nd4 0.8248 0.6752 0.0000  3 Ga 2.80-3.02, 2 Rh 3.03
Ga1 0.1248 0.6248 0.0000  6 Rh 2.49-2.54
Ga2 0.3752 0.1248 0.0000  6 Rh 2.49-2.54
Ga3 0.6248 0.8752 0.0000  6 Rh 2.49-2.54
Ga4 0.8752 0.3752 0.0000  6 Rh 2.49-2.54
Cu1 0.0000 0.0000 0.0000  8 Rh 2.75
Cu2 0.5000 0.5000 0.0000  8 Rh 2.75
Rh1 0.0000 0.5000 0.5000  4 Ga 2.49
Rh2 0.0626 0.7978 0.5000  2 Ga 2.54, 2 Cu 2.75
Rh3 0.2022 0.0626 0.5000  2 Ga 2.54, 2 Cu 2.75
Rh4 0.2978 0.5626 0.5000  2 Ga 2.54, 2 Cu 2.75
Rh5 0.4374 0.2978 0.5000  2 Ga 2.54, 2 Cu 2.75
Rh6 0.5000 0.0000 0.5000  4 Ga 2.49
Rh7 0.5626 0.7022 0.5000  2 Ga 2.54, 2 Cu 2.75
Rh8 0.7022 0.4374 0.5000  2 Ga 2.54, 2 Cu 2.75
Rh9 0.7978 0.9374 0.5000  2 Ga 2.54, 2 Cu 2.75
Rh10 0.9374 0.2022 0.5000  2 Ga 2.54, 2 Cu 2.75

Formation enthalpy at 0 K: -545 meV per atom
Raw total energy: -123.78 eV per cell

***

3.
Material: Ca2HPb
Method: DFT, PBE-GGA
State: relaxed

a = 7.1959 Å, b = 7.1959 Å, c = 7.8468 Å
α = 90.00°, β = 90.00°, γ = 90.00°
Last column: nearest neighbours and their distance in Å.
Fractional positions:
Ca1 0.1426 0.2500 0.1250  2 H 2.29
Ca2 0.2500 0.6426 0.3750  2 H 2.29
Ca3 0.2500 0.8574 0.8750  2 H 2.29
Ca4 0.3574 0.2500 0.6250  2 H 2.29
Ca5 0.6426 0.7500 0.6250  2 H 2.29
Ca6 0.7500 0.1426 0.8750  2 H 2.29
Ca7 0.7500 0.3574 0.3750  2 H 2.29
Ca8 0.8574 0.7500 0.1250  2 H 2.29
H1 0.0000 0.0000 0.0000  4 Ca 2.29
H2 0.0000 0.5000 0.2500  4 Ca 2.29
H3 0.5000 0.0000 0.7500  4 Ca 2.29
H4 0.5000 0.5000 0.5000  4 Ca 2.29
Pb1 0.0000 0.0000 0.5000  8 Ca 3.29-3.60
Pb2 0.0000 0.5000 0.7500  8 Ca 3.29-3.60
Pb3 0.5000 0.0000 0.2500  8 Ca 3.29-3.60
Pb4 0.5000 0.5000 0.0000  8 Ca 3.29-3.60

Relative energy among the computed polymorphs: 0.32 eV per formula unit
Raw total energy: -50.22 eV per cell

***

4.
Material: RbTcN2
Method: DFT, PBE-GGA
State: relaxed

a = 3.2125 Å, b = 3.2125 Å, c = 21.2454 Å
α = 90.00°, β = 90.00°, γ = 120.00°
Last column: nearest neighbours and their distance in Å.
Fractional positions:
Rb1 0.0000 0.0000 0.0000  2 N 2.59
Rb2 0.3333 0.6667 0.6667  2 N 2.59
Rb3 0.6667 0.3333 0.3333  2 N 2.59
Tc1 0.0000 0.0000 0.5000  6 N 2.08
Tc2 0.3333 0.6667 0.1667  6 N 2.08
Tc3 0.6667 0.3333 0.8333  6 N 2.08
N1 0.0000 0.0000 0.1220  3 Tc 2.08
N2 0.0000 0.0000 0.8780  3 Tc 2.08
N3 0.3333 0.6667 0.5447  3 Tc 2.08
N4 0.3333 0.6667 0.7886  3 Tc 2.08
N5 0.6667 0.3333 0.2114  3 Tc 2.08
N6 0.6667 0.3333 0.4553  3 Tc 2.08

Energy relative to the elements, uncorrected: 0.578 eV per atom
Relative energy among the computed polymorphs: 2.99 eV per formula unit
Raw total energy: -77.02 eV per cell

***

5.
Material: KPm2ZnSe4
Method: DFT, PBE-GGA
State: relaxed

a = 7.6015 Å, b = 7.6015 Å, c = 14.7907 Å
α = 90.00°, β = 90.00°, γ = 148.33°
Last column: nearest neighbours and their distance in Å.
Fractional positions:
K1 0.1113 0.8887 0.7500  6 Se 3.35-3.38
K2 0.8887 0.1113 0.2500  6 Se 3.35-3.38
Pm1 0.3712 0.6288 0.5523  6 Se 2.91-3.05
Pm2 0.3712 0.6288 0.9477  6 Se 2.91-3.05
Pm3 0.6288 0.3712 0.0523  6 Se 2.91-3.05
Pm4 0.6288 0.3712 0.4477  6 Se 2.91-3.05
Zn1 0.1647 0.8353 0.2500  4 Se 2.47-2.51
Zn2 0.8353 0.1647 0.7500  4 Se 2.47-2.51
Se1 0.0000 0.0000 0.0000  4 Pm 2.91
Se2 0.0000 0.0000 0.5000  4 Pm 2.91
Se3 0.2663 0.7337 0.1163  1 Zn 2.47
Se4 0.2663 0.7337 0.3837  1 Zn 2.47
Se5 0.4315 0.5685 0.7500  2 Zn 2.51
Se6 0.5685 0.4315 0.2500  2 Zn 2.51
Se7 0.7337 0.2663 0.6163  1 Zn 2.47
Se8 0.7337 0.2663 0.8837  1 Zn 2.47

Energy relative to the elements, uncorrected: -1.465 eV per atom
Raw total energy: -75.05 eV per cell

***

6.
Material: KHg3S
Method: DFT, PBE-GGA
State: relaxed

a = 6.4365 Å, b = 6.4365 Å, c = 6.4365 Å
α = 90.00°, β = 90.00°, γ = 90.00°
Last column: nearest neighbours and their distance in Å.
Fractional positions:
K1 0.0000 0.0000 0.0000  6 Hg 3.22
Hg1 0.0000 0.0000 0.5000  2 K 3.22
Hg2 0.0000 0.5000 0.0000  2 K 3.22
Hg3 0.5000 0.0000 0.0000  2 K 3.22
S1 0.5000 0.5000 0.5000  12 Hg 4.55

Energy relative to the elements, uncorrected: 0.406 eV per atom
Relative energy among the computed polymorphs: 1.71 eV per formula unit
Raw total energy: -4.10 eV per cell

***

7.
Material: ZnSnIr2Ru
Method: DFT, PBE-GGA
State: relaxed

a = 4.7525 Å, b = 4.7525 Å, c = 4.9989 Å
α = 90.00°, β = 90.00°, γ = 90.00°
Last column: nearest neighbours and their distance in Å.
Fractional positions:
Zn1 0.0000 0.0000 0.0000  4 Sn 3.36, 8 Ir 3.45
Sn1 0.5000 0.5000 0.0000  2 Ru 2.50
Ir1 0.0000 0.5000 0.5000  2 Ru 2.38
Ir2 0.5000 0.0000 0.5000  2 Ru 2.38
Ru1 0.5000 0.5000 0.5000  4 Ir 2.38, 2 Sn 2.50

Formation enthalpy at 0 K: 1284 meV per atom
Raw total energy: -25.85 eV per cell

***

8.
Material: LuSnGe
Method: DFT, PBE-GGA
State: relaxed

a = 5.0092 Å, b = 5.0092 Å, c = 3.2667 Å
α = 90.00°, β = 90.00°, γ = 120.00°
Last column: nearest neighbours and their distance in Å.
Fractional positions:
Lu1 0.0000 0.0000 0.0000  2 Lu 3.27, 6 Ge 3.32, 6 Sn 3.32
Sn1 0.6667 0.3333 0.5009  3 Ge 2.89
Ge1 0.3333 0.6667 0.4990  3 Sn 2.89

Formation enthalpy at 0 K: -254 meV per atom
Raw total energy: -13.90 eV per cell